[1]
# TbCeTe, relaxed, DFT PBE-GGA
# Crystal system = hexagonal
# Formation energy (no corrections) = -485.2 meV/atom
# Calculated volume = 30.6 Å³ per atom
# Relative energy among the computed polymorphs = 328 meV per atom
data_TbCeTe
_chemical_formula_sum 'Tb1 Ce1 Te1'
_cell_length_a 5.2227
_cell_length_b 5.2227
_cell_length_c 3.8820
_cell_angle_alpha 90.00
_cell_angle_beta 90.00
_cell_angle_gamma 120.00
_space_group_name_H-M_alt 'P -6 m 2'
_space_group_IT_number 187
_space_group_name_Hall 'P -6 2'
loop_
_atom_site_label
_atom_site_fract_x
_atom_site_fract_y
_atom_site_fract_z
_atom_site_occupancy
Tb1 0.0000 0.0000 0.0000 1
Ce1 0.3333 0.6667 0.5000 1
Te1 0.6667 0.3333 0.0000 1


[2]
# TbCe6Te8, relaxed, DFT PBE-GGA
# Crystal system = cubic
# Formation energy (no corrections) = -1385.2 meV/atom
# Calculated volume = 33.8 Å³ per atom
data_TbCe6Te8
_chemical_formula_sum 'Tb4 Ce24 Te32'
_cell_length_a 12.656
_cell_length_b 12.656
_cell_length_c 12.656
_cell_angle_alpha 90.00
_cell_angle_beta 90.00
_cell_angle_gamma 90.00
_space_group_name_H-M_alt 'F m -3 m'
_space_group_IT_number 225
_space_group_name_Hall '-F 4 2 3'
loop_
_atom_site_label
_atom_site_fract_x
_atom_site_fract_y
_atom_site_fract_z
_atom_site_occupancy
Tb1 0.000 0.000 0.000 1
Ce1 0.000 0.250 0.250 1
Te1 0.000 0.000 0.250 1
Te2 0.250 0.250 0.250 1


[3]
# Tb4CeTe5, relaxed, DFT PBE-GGA
# Crystal system = tetragonal
# Formation energy (no corrections) = -1321.1 meV/atom
# Calculated volume = 30.0 Å³ per atom
# Relative energy among the computed polymorphs = 6 meV per atom
data_Tb4CeTe5
_chemical_formula_sum 'Tb8 Ce2 Te10'
_cell_length_a 4.388
_cell_length_b 4.388
_cell_length_c 31.197
_cell_angle_alpha 90.00
_cell_angle_beta 90.00
_cell_angle_gamma 90.00
_space_group_name_H-M_alt 'I 4/m m m'
_space_group_IT_number 139
_space_group_name_Hall '-I 4 2'
loop_
_atom_site_label
_atom_site_fract_x
_atom_site_fract_y
_atom_site_fract_z
_atom_site_occupancy
Tb1 0.000 0.000 0.097 1
Tb2 0.000 0.000 0.295 1
Ce1 0.000 0.000 0.500 1
Te1 0.000 0.000 0.000 1
Te2 0.000 0.000 0.197 1
Te3 0.000 0.000 0.397 1


[4]
# Tb3Ce4Te8, relaxed, DFT PBE-GGA
# Crystal system = trigonal
# Formation energy (no corrections) = -1158.1 meV/atom
# Calculated volume = 36.7 Å³ per atom
data_Tb3Ce4Te8
_chemical_formula_sum 'Tb9 Ce12 Te24'
_cell_length_a 8.7835
_cell_length_b 8.7835
_cell_length_c 24.6959
_cell_angle_alpha 90.00
_cell_angle_beta 90.00
_cell_angle_gamma 120.00
_space_group_name_H-M_alt 'R -3 m'
_space_group_IT_number 166
_space_group_name_Hall '-R 3 2"'
loop_
_atom_site_label
_atom_site_fract_x
_atom_site_fract_y
_atom_site_fract_z
_atom_site_occupancy
Tb1 0.0000 0.5000 0.0000 1
Ce1 0.0000 0.0000 0.0000 1
Ce2 0.0000 0.0000 0.1431 1
Ce3 0.0000 0.0000 0.5000 1
Te1 0.0000 0.0000 0.2669 1
Te2 0.0124 0.5062 0.2558 1


[5]
# Tb2Ce2Te5, relaxed, DFT PBE-GGA
# Crystal system = orthorhombic
# Formation energy (no corrections) = -1307.2 meV/atom
# Calculated volume = 30.7 Å³ per atom
data_Tb2Ce2Te5
_chemical_formula_sum 'Tb8 Ce8 Te20'
_cell_length_a 15.914
_cell_length_b 8.343
_cell_length_c 8.322
_cell_angle_alpha 90.00
_cell_angle_beta 90.00
_cell_angle_gamma 90.00
_space_group_name_H-M_alt 'C m c e'
_space_group_IT_number 64
_space_group_name_Hall '-C 2ac 2'
loop_
_atom_site_label
_atom_site_fract_x
_atom_site_fract_y
_atom_site_fract_z
_atom_site_occupancy
Tb1 0.000 0.147 0.150 1
Ce1 0.196 0.000 0.500 1
Te1 0.000 0.000 0.500 1
Te2 0.136 0.158 0.846 1


[6]
# Tb2CeTe3, relaxed, DFT PBE-GGA
# Crystal system = orthorhombic
# Formation energy (no corrections) = -1334.6 meV/atom
# Calculated volume = 30.3 Å³ per atom
# Relative energy among the computed polymorphs = 0 meV per atom
data_Tb2CeTe3
_chemical_formula_sum 'Tb4 Ce2 Te6'
_cell_length_a 4.375
_cell_length_b 6.242
_cell_length_c 13.334
_cell_angle_alpha 90.00
_cell_angle_beta 90.00
_cell_angle_gamma 90.00
_space_group_name_H-M_alt 'I m m m'
_space_group_IT_number 71
_space_group_name_Hall '-I 2 2'
loop_
_atom_site_label
_atom_site_fract_x
_atom_site_fract_y
_atom_site_fract_z
_atom_site_occupancy
Tb1 0.000 0.000 0.164 1
Ce1 0.000 0.000 0.500 1
Te1 0.000 0.500 0.172 1
Te2 0.000 0.500 0.500 1


[7]
# TbCe2Te5, relaxed, DFT PBE-GGA
# Crystal system = tetragonal
# Formation energy (no corrections) = -659.2 meV/atom
# Calculated volume = 37.9 Å³ per atom
data_TbCe2Te5
_chemical_formula_sum 'Tb1 Ce2 Te5'
_cell_length_a 7.501
_cell_length_b 7.501
_cell_length_c 5.393
_cell_angle_alpha 90.00
_cell_angle_beta 90.00
_cell_angle_gamma 90.00
_space_group_name_H-M_alt 'P 4/m m m'
_space_group_IT_number 123
_space_group_name_Hall '-P 4 2'
loop_
_atom_site_label
_atom_site_fract_x
_atom_site_fract_y
_atom_site_fract_z
_atom_site_occupancy
Tb1 0.000 0.000 0.000 1
Ce1 0.000 0.500 0.500 1
Te1 0.000 0.000 0.500 1
Te2 0.280 0.280 0.000 1


[8]
# Tb5Ce3Te8, relaxed, DFT PBE-GGA
# Crystal system = trigonal
# Formation energy (no corrections) = -1338.6 meV/atom
# Calculated volume = 30.5 Å³ per atom
data_Tb5Ce3Te8
_chemical_formula_sum 'Tb15 Ce9 Te24'
_cell_length_a 8.8003
_cell_length_b 8.8003
_cell_length_c 21.7925
_cell_angle_alpha 90.00
_cell_angle_beta 90.00
_cell_angle_gamma 120.00
_space_group_name_H-M_alt 'R -3 m'
_space_group_IT_number 166
_space_group_name_Hall '-R 3 2"'
loop_
_atom_site_label
_atom_site_fract_x
_atom_site_fract_y
_atom_site_fract_z
_atom_site_occupancy
Tb1 0.0000 0.0000 0.0000 1
Tb2 0.0000 0.0000 0.5000 1
Tb3 0.0000 0.5000 0.0000 1
Ce1 0.0000 0.5000 0.5000 1
Te1 0.0000 0.0000 0.2532 1
Te2 0.0040 0.5020 0.2521 1


[9]
# Tb6CeTe8, relaxed, DFT PBE-GGA
# Crystal system = trigonal
# Formation energy (no corrections) = -1239.2 meV/atom
# Calculated volume = 31.2 Å³ per atom
# Relative energy among the computed polymorphs = 129 meV per atom
data_Tb6CeTe8
_chemical_formula_sum 'Tb18 Ce3 Te24'
_cell_length_a 9.3582
_cell_length_b 9.3582
_cell_length_c 18.5349
_cell_angle_alpha 90.00
_cell_angle_beta 90.00
_cell_angle_gamma 120.00
_space_group_name_H-M_alt 'R -3'
_space_group_IT_number 148
_space_group_name_Hall '-R 3'
loop_
_atom_site_label
_atom_site_fract_x
_atom_site_fract_y
_atom_site_fract_z
_atom_site_occupancy
Tb1 0.0030 0.6215 0.0747 1
Ce1 0.0000 0.0000 0.0000 1
Te1 0.0000 0.0000 0.3261 1
Te2 0.0069 0.2857 0.0930 1


[10]
# Tb6CeTe8, relaxed, DFT PBE-GGA
# Crystal system = cubic
# Formation energy (no corrections) = -1368.3 meV/atom
# Calculated volume = 31.4 Å³ per atom
# Relative energy among the computed polymorphs = 0 meV per atom
data_Tb6CeTe8
_chemical_formula_sum 'Tb24 Ce4 Te32'
_cell_length_a 12.348
_cell_length_b 12.348
_cell_length_c 12.348
_cell_angle_alpha 90.00
_cell_angle_beta 90.00
_cell_angle_gamma 90.00
_space_group_name_H-M_alt 'F m -3 m'
_space_group_IT_number 225
_space_group_name_Hall '-F 4 2 3'
loop_
_atom_site_label
_atom_site_fract_x
_atom_site_fract_y
_atom_site_fract_z
_atom_site_occupancy
Tb1 0.000 0.250 0.250 1
Ce1 0.000 0.000 0.000 1
Te1 0.000 0.000 0.261 1
Te2 0.250 0.250 0.250 1


[11]
# TbCeTe6, relaxed, DFT PBE-GGA
# Crystal system = orthorhombic
# Formation energy (no corrections) = -954.6 meV/atom
# Calculated volume = 32.1 Å³ per atom
data_TbCeTe6
_chemical_formula_sum 'Tb2 Ce2 Te12'
_cell_length_a 4.387
_cell_length_b 4.386
_cell_length_c 26.708
_cell_angle_alpha 90.00
_cell_angle_beta 90.00
_cell_angle_gamma 90.00
_space_group_name_H-M_alt 'A m m 2'
_space_group_IT_number 38
_space_group_name_Hall 'A 2 -2'
loop_
_atom_site_label
_atom_site_fract_x
_atom_site_fract_y
_atom_site_fract_z
_atom_site_occupancy
Tb1 0.000 0.000 0.000 1
Ce1 0.500 0.000 0.657 1
Te1 0.000 0.000 0.122 1
Te2 0.000 0.000 0.408 1
Te3 0.000 0.000 0.749 1
Te4 0.500 0.000 0.249 1
Te5 0.500 0.000 0.535 1
Te6 0.500 0.000 0.908 1


[12]
# Tb2CeTe3, relaxed, DFT PBE-GGA
# Crystal system = orthorhombic
# Formation energy (no corrections) = -1329.7 meV/atom
# Calculated volume = 30.3 Å³ per atom
# Relative energy among the computed polymorphs = 5 meV per atom
data_Tb2CeTe3
_chemical_formula_sum 'Tb8 Ce4 Te12'
_cell_length_a 6.237
_cell_length_b 18.723
_cell_length_c 6.232
_cell_angle_alpha 90.00
_cell_angle_beta 90.00
_cell_angle_gamma 90.00
_space_group_name_H-M_alt 'C m m m'
_space_group_IT_number 65
_space_group_name_Hall '-C 2 2'
loop_
_atom_site_label
_atom_site_fract_x
_atom_site_fract_y
_atom_site_fract_z
_atom_site_occupancy
Tb1 0.000 0.000 0.000 1
Tb2 0.000 0.169 0.500 1
Tb3 0.000 0.500 0.500 1
Ce1 0.000 0.332 0.000 1
Te1 0.000 0.000 0.500 1
Te2 0.000 0.164 0.000 1
Te3 0.000 0.334 0.500 1
Te4 0.000 0.500 0.000 1